Record 1
KMo3Se3 | Alexandria | PBEsol | optimized geometry; size of the total moment = 0.00 μB per formula unit; total DFT energy (no corrections) = -7.576 eV per atom
1.0
9.028 0.000 0.000
-4.514 7.818 0.000
0.000 0.000 4.465
K Mo Se
2 6 6
Cartesian
0.000 5.212 1.116
4.514 2.606 3.349
-3.551 6.639 1.116
0.540 1.423 1.116
1.503 0.244 3.349
3.011 7.574 1.116
3.974 6.395 3.349
8.065 1.179 3.349
-2.608 5.491 3.349
1.062 2.814 3.349
2.968 0.487 1.116
1.546 7.331 3.349
3.451 5.004 1.116
7.122 2.327 1.116

***

Record 2
KMoSe2 | Alexandria | PBEsol | optimized geometry; size of the total moment = 0.01 μB per formula unit; total DFT energy (no corrections) = -5.342 eV per atom
1.0
3.388 0.000 0.000
0.000 3.388 0.000
0.000 0.000 8.439
K Mo Se
1 1 2
Cartesian
0.000 0.000 0.000
1.694 1.694 4.063
0.000 0.000 3.117
1.694 1.694 6.408